Density functional theory data (PBE-GGA) for a relaxed GdLuThZn crystal.

Calculated values
- energy of formation from the pure elements (meV/atom) = 53
- crystal system = cubic
- D(E_F) (states/eV per atom) = 1.05

Cell: 5.3568 5.3568 5.3568 Å, 60.00 60.00 60.00°
Closest atoms and distances in Å follow each position.
Fractional coordinates of all 4 atoms:
Zn  0.0000  0.0000  0.0000  4 Th 3.28, 4 Gd 3.28
Lu  0.5000  0.5000  0.5000  4 Gd 3.28, 4 Th 3.28
Gd  0.2500  0.2500  0.2500  4 Zn 3.28, 4 Lu 3.28
Th  0.7500  0.7500  0.7500  4 Lu 3.28, 4 Zn 3.28